No. 1
DFT (PBE) results for a relaxed Zn4CuAu7 crystal.

Structure (CIF):
```
data_Zn4CuAu7
_cell_length_a 4.883
_cell_length_b 8.153
_cell_length_c 6.284
_cell_angle_alpha 81.62
_cell_angle_beta 67.14
_cell_angle_gamma 72.57
_space_group_name_H-M_alt 'P 1'
_space_group_IT_number 1
_space_group_name_Hall 'P 1'
loop_
_atom_site_label
_atom_site_type_symbol
_atom_site_fract_x
_atom_site_fract_y
_atom_site_fract_z
_atom_site_occupancy
Zn1 Zn 0.579 0.218 0.623 1
Zn2 Zn 0.421 0.782 0.377 1
Zn3 Zn 0.723 0.664 0.890 1
Zn4 Zn 0.277 0.336 0.110 1
Cu1 Cu 0.000 0.000 0.000 1
Au1 Au 0.788 0.885 0.539 1
Au2 Au 0.212 0.115 0.461 1
Au3 Au 0.079 0.685 0.158 1
Au4 Au 0.921 0.315 0.842 1
Au5 Au 0.362 0.552 0.725 1
Au6 Au 0.500 0.000 0.000 1
Au7 Au 0.638 0.448 0.275 1
```

space group	No. 12
E_form	-44	meV/atom
crystal system	monoclinic
total DFT energy (no corrections)	-2.7220	eV/atom



No. 2
DFT (PBE) results for a relaxed ZnCu6Au8 crystal.

Structure (CIF):
```
data_ZnCu6Au8
_cell_length_a 4.514
_cell_length_b 7.983
_cell_length_c 7.983
_cell_angle_alpha 120.00
_cell_angle_beta 90.00
_cell_angle_gamma 90.00
_space_group_name_H-M_alt 'P 1'
_space_group_IT_number 1
_space_group_name_Hall 'P 1'
loop_
_atom_site_label
_atom_site_type_symbol
_atom_site_fract_x
_atom_site_fract_y
_atom_site_fract_z
_atom_site_occupancy
Zn1 Zn 0.500 0.000 0.000 1
Cu1 Cu 0.678 0.639 0.129 1
Cu2 Cu 0.678 0.871 0.510 1
Cu3 Cu 0.678 0.490 0.361 1
Cu4 Cu 0.322 0.361 0.871 1
Cu5 Cu 0.322 0.129 0.490 1
Cu6 Cu 0.322 0.510 0.639 1
Au1 Au 0.809 0.010 0.282 1
Au2 Au 0.809 0.718 0.727 1
Au3 Au 0.809 0.273 0.990 1
Au4 Au 0.191 0.990 0.718 1
Au5 Au 0.191 0.282 0.273 1
Au6 Au 0.191 0.727 0.010 1
Au7 Au 0.821 0.333 0.667 1
Au8 Au 0.179 0.667 0.333 1
```

space group	No. 147
E_form	58	meV/atom
energy above the most stable polymorph in this dataset	0.041	eV per atom
crystal system	trigonal
total DFT energy (no corrections)	-3.4136	eV/atom



no.,DOS(E_F) (states/eV/f.u.)
1,2.5
2,2.8